Record 1
Below is Dy3HoEr7 after structural relaxation, with properties calculated at the PBE-GGA level.

Calculated values
- calculated formation energy (eV/atom) = 0.283
- offset from the most stable computed form (eV/atom) = 0.127
- SG = C2/m, No. 12
- density (g/cm3) = 8.667

Unit cell a=5.726 b=8.321 c=8.321 alpha=83.21 beta=110.17 gamma=110.17
Last column: magnetic moment on the atom in μB.
Element x y z (fractional)
Dy1 0.000 0.791 0.209  0.01
Dy2 0.500 0.000 0.000  0.00
Dy3 0.000 0.209 0.791  0.01
Ho1 0.500 0.500 0.500  0.16
Er1 0.208 0.207 0.207  0.01
Er2 0.297 0.996 0.599  0.01
Er3 0.703 0.401 0.004  0.01
Er4 0.297 0.599 0.996  0.01
Er5 0.000 0.500 0.500  0.16
Er6 0.703 0.004 0.401  0.01
Er7 0.792 0.793 0.793  0.01


Record 2
Below is Dy4Ho3Er after structural relaxation, with properties calculated at the PBE-GGA level.

Calculated values
- calculated formation energy (eV/atom) = 0.199
- offset from the most stable computed form (eV/atom) = 0.195
- SG = Cmmm, No. 65
- density (g/cm3) = 8.547

Unit cell a=5.575 b=3.542 c=13.209 alpha=89.98 beta=102.18 gamma=90.00
Element x y z (fractional)
Er1 0.500 0.000 0.000
Ho1 0.000 0.500 0.000
Ho2 0.846 0.000 0.692
Ho3 0.154 0.000 0.308
Dy1 0.603 0.500 0.206
Dy2 0.397 0.500 0.794
Dy3 0.277 0.499 0.554
Dy4 0.723 0.501 0.446


Record 3
Below is DyHo3Er7 after structural relaxation, with properties calculated at the PBE-GGA level.

Calculated values
- calculated formation energy (eV/atom) = 0.156
- offset from the most stable computed form (eV/atom) = 0.000
- SG = P2/m, No. 10
- density (g/cm3) = 8.802

Unit cell a=8.769 b=9.810 c=5.455 alpha=90.00 beta=128.47 gamma=105.66
Element x y z (fractional)
Dy1 0.500 0.500 0.500
Ho1 0.221 0.001 0.721
Ho2 0.000 0.500 0.000
Ho3 0.779 0.999 0.279
Er1 0.918 0.831 0.918
Er2 0.821 0.641 0.321
Er3 0.646 0.291 0.146
Er4 0.354 0.709 0.854
Er5 0.500 0.000 0.500
Er6 0.179 0.359 0.679
Er7 0.082 0.169 0.082


Record 4
Below is Dy2Ho5Er2 after structural relaxation, with properties calculated at the PBE-GGA level.

Calculated values
- calculated formation energy (eV/atom) = 0.019
- offset from the most stable computed form (eV/atom) = 0.000
- SG = C2/m, No. 12
- density (g/cm3) = 8.919

Unit cell a=4.962 b=9.305 c=7.866 alpha=53.72 beta=71.61 gamma=74.54
Element x y z (fractional)
Dy1 0.111 0.333 0.445
Dy2 0.889 0.667 0.555
Ho1 0.333 0.000 0.333
Ho2 0.667 0.000 0.667
Ho3 0.222 0.667 0.889
Ho4 0.778 0.333 0.111
Ho5 0.000 0.000 0.000
Er1 0.444 0.333 0.778
Er2 0.556 0.667 0.222


Record 5
Below is Dy6HoEr6 after structural relaxation, with properties calculated at the PBE-GGA level.

Calculated values
- calculated formation energy (eV/atom) = 0.289
- SG = P6/mmm, No. 191
- density (g/cm3) = 8.403

Unit cell a=6.593 b=6.593 c=11.251 alpha=90.00 beta=90.00 gamma=119.99
Last column: magnetic moment on the atom in μB.
Element x y z (fractional)
Dy1 0.000 0.000 0.655  0.24
Dy2 0.000 0.000 0.345  0.24
Dy3 0.333 0.667 0.000  0.03
Dy4 0.667 0.333 0.000  0.03
Dy5 0.333 0.667 0.500  0.34
Dy6 0.667 0.333 0.500  0.34
Ho1 0.000 0.000 0.000  0.07
Er1 0.000 0.500 0.757  0.19
Er2 0.500 0.000 0.757  0.19
Er3 0.500 0.500 0.757  0.19
Er4 0.500 0.000 0.243  0.19
Er5 0.000 0.500 0.243  0.19
Er6 0.500 0.500 0.243  0.19


Record 6
Below is Dy6HoEr2 after structural relaxation, with properties calculated at the PBE-GGA level.

Calculated values
- calculated formation energy (eV/atom) = 0.020
- SG = P4_2/mnm, No. 136
- density (g/cm3) = 8.796

Unit cell a=4.986 b=10.566 c=10.567 alpha=90.00 beta=90.00 gamma=90.00
Element x y z (fractional)
Dy1 0.000 0.000 0.167
Dy2 0.000 0.667 0.500
Dy3 0.000 0.666 0.834
Dy4 0.500 0.167 0.666
Dy5 0.500 0.167 0.000
Dy6 0.500 0.500 0.333
Dy7 0.000 0.000 0.833
Dy8 0.000 0.333 0.500
Dy9 0.000 0.334 0.166
Dy10 0.500 0.833 0.334
Dy11 0.500 0.833 0.000
Dy12 0.500 0.500 0.667
Ho1 0.500 0.500 0.000
Ho2 0.000 0.000 0.500
Er1 0.000 0.333 0.833
Er2 0.500 0.833 0.667
Er3 0.500 0.167 0.333
Er4 0.000 0.667 0.167


Record 7
Below is DyHo5Er12 after structural relaxation, with properties calculated at the PBE-GGA level.

Calculated values
- calculated formation energy (eV/atom) = 0.023
- SG = Cmmm, No. 65
- density (g/cm3) = 9.080

Unit cell a=14.857 b=10.517 c=4.951 alpha=90.00 beta=90.00 gamma=45.06
Element x y z (fractional)
Dy1 0.000 0.000 0.000
Ho1 0.500 0.000 0.500
Ho2 0.167 0.667 0.500
Ho3 0.833 0.333 0.500
Ho4 0.667 0.667 0.000
Ho5 0.333 0.333 0.000
Er1 0.833 0.000 0.500
Er2 0.167 0.000 0.500
Er3 0.667 0.000 0.000
Er4 0.333 0.000 0.000
Er5 0.334 0.667 0.000
Er6 0.000 0.667 0.000
Er7 0.000 0.333 0.000
Er8 0.666 0.333 0.000
Er9 0.500 0.333 0.500
Er10 0.833 0.667 0.500
Er11 0.167 0.333 0.500
Er12 0.500 0.667 0.500


Record 8
Below is Dy2Ho9Er3 after structural relaxation, with properties calculated at the PBE-GGA level.

Calculated values
- calculated formation energy (eV/atom) = 0.086
- SG = P1, No. 1
- density (g/cm3) = 8.822

Unit cell a=6.377 b=14.136 c=10.112 alpha=35.54 beta=58.91 gamma=55.83
Element x y z (fractional)
Dy1 0.705 0.314 0.582
Dy2 0.376 0.665 0.427
Ho1 0.007 0.518 0.486
Ho2 0.732 0.898 0.919
Ho3 0.278 0.109 0.045
Ho4 0.419 0.700 0.011
Ho5 0.572 0.311 0.981
Ho6 0.856 0.904 0.520
Ho7 0.151 0.106 0.452
Ho8 0.934 0.462 0.913
Ho9 0.054 0.548 0.072
Er1 0.947 0.955 0.084
Er2 0.477 0.258 0.422
Er3 0.493 0.753 0.586


Record 9
Below is DyHo4Er5 after structural relaxation, with properties calculated at the PBE-GGA level.

Calculated values
- calculated formation energy (eV/atom) = 0.059
- offset from the most stable computed form (eV/atom) = 0.000
- SG = P-1, No. 2
- density (g/cm3) = 8.910

Unit cell a=3.517 b=6.694 c=14.161 alpha=94.17 beta=103.28 gamma=105.71
Element x y z (fractional)
Dy1 0.500 0.000 0.000
Ho1 0.380 0.821 0.213
Ho2 0.875 0.712 0.807
Ho3 0.620 0.179 0.787
Ho4 0.125 0.288 0.193
Er1 0.937 0.579 0.385
Er2 0.232 0.123 0.416
Er3 0.768 0.877 0.584
Er4 0.500 0.500 0.000
Er5 0.063 0.421 0.615


Record 10
Below is Dy4Ho3Er5 after structural relaxation, with properties calculated at the PBE-GGA level.

Calculated values
- calculated formation energy (eV/atom) = 0.020
- offset from the most stable computed form (eV/atom) = 0.000
- SG = P-1, No. 2
- density (g/cm3) = 8.941

Unit cell a=7.033 b=11.108 c=12.665 alpha=151.29 beta=56.33 gamma=129.27
Element x y z (fractional)
Dy1 0.916 0.834 0.667
Dy2 0.833 0.666 0.833
Dy3 0.167 0.334 0.167
Dy4 0.084 0.166 0.333
Ho1 0.583 0.166 0.333
Ho2 0.000 0.000 0.500
Ho3 0.417 0.834 0.667
Er1 0.333 0.666 0.833
Er2 0.500 0.000 0.500
Er3 0.750 0.500 0.000
Er4 0.250 0.500 0.000
Er5 0.667 0.334 0.167


Record 11
Below is Dy8Ho2Er after structural relaxation, with properties calculated at the PBE-GGA level.

Calculated values
- calculated formation energy (eV/atom) = 0.192
- offset from the most stable computed form (eV/atom) = 0.026
- SG = C2/m, No. 12
- density (g/cm3) = 8.633

Unit cell a=6.418 b=9.167 c=9.167 alpha=43.02 beta=71.41 gamma=71.41
Element x y z (fractional)
Er1 0.000 0.000 0.000
Ho1 0.891 0.715 0.715
Ho2 0.109 0.285 0.285
Dy1 0.311 0.338 0.869
Dy2 0.689 0.131 0.662
Dy3 0.321 0.791 0.791
Dy4 0.679 0.209 0.209
Dy5 0.311 0.869 0.338
Dy6 0.689 0.662 0.131
Dy7 0.750 0.557 0.557
Dy8 0.250 0.443 0.443


Record 12
Below is Dy2Ho2Er3 after structural relaxation, with properties calculated at the PBE-GGA level.

Calculated values
- calculated formation energy (eV/atom) = 0.117
- SG = C2/m, No. 12
- density (g/cm3) = 8.754

Unit cell a=3.466 b=8.443 c=8.772 alpha=118.67 beta=101.39 gamma=90.00
Element x y z (fractional)
Dy1 0.853 0.676 0.706
Dy2 0.147 0.324 0.294
Ho1 0.565 0.908 0.131
Ho2 0.435 0.092 0.869
Er1 0.000 0.500 0.000
Er2 0.212 0.802 0.424
Er3 0.788 0.198 0.576


Record 13
Below is Dy8Ho3Er4 after structural relaxation, with properties calculated at the PBE-GGA level.

Calculated values
- calculated formation energy (eV/atom) = 0.153
- offset from the most stable computed form (eV/atom) = 0.000
- SG = R-3m, No. 166
- density (g/cm3) = 8.602

Unit cell a=6.867 b=6.867 c=12.303 alpha=73.79 beta=73.79 gamma=60.00
Element x y z (fractional)
Dy1 0.245 0.245 0.265
Dy2 0.248 0.751 0.251
Dy3 0.751 0.751 0.251
Dy4 0.751 0.248 0.251
Dy5 0.755 0.755 0.735
Dy6 0.752 0.249 0.749
Dy7 0.249 0.249 0.749
Dy8 0.249 0.752 0.749
Ho1 0.500 0.000 0.500
Ho2 0.000 0.000 0.500
Ho3 0.000 0.500 0.500
Er1 0.000 0.000 0.000
Er2 0.336 0.336 0.992
Er3 0.500 0.500 0.500
Er4 0.664 0.664 0.008


Record 14
Below is Dy3Ho8Er after structural relaxation, with properties calculated at the PBE-GGA level.

Calculated values
- calculated formation energy (eV/atom) = 0.729
- SG = I4/mmm, No. 139
- density (g/cm3) = 7.408

Unit cell a=7.619 b=7.619 c=9.335 alpha=114.09 beta=114.09 gamma=90.00
Element x y z (fractional)
Dy1 0.250 0.750 0.500
Dy2 0.500 0.500 0.000
Dy3 0.750 0.250 0.500
Ho1 0.875 0.374 0.250
Ho2 0.374 0.374 0.250
Ho3 0.125 0.125 0.750
Ho4 0.626 0.125 0.750
Ho5 0.374 0.875 0.250
Ho6 0.875 0.875 0.250
Ho7 0.626 0.626 0.750
Ho8 0.125 0.626 0.750
Er1 0.000 0.000 0.000


Record 15
Below is DyHo2Er7 after structural relaxation, with properties calculated at the PBE-GGA level.

Calculated values
- calculated formation energy (eV/atom) = 0.023
- offset from the most stable computed form (eV/atom) = 0.000
- SG = P-1, No. 2
- density (g/cm3) = 9.071

Unit cell a=6.078 b=9.262 c=9.274 alpha=141.79 beta=70.88 gamma=102.65
Element x y z (fractional)
Dy1 0.000 0.000 0.000
Ho1 0.500 0.900 0.600
Ho2 0.500 0.100 0.400
Er1 0.000 0.600 0.400
Er2 0.000 0.400 0.600
Er3 0.500 0.700 0.800
Er4 0.500 0.300 0.200
Er5 0.000 0.800 0.200
Er6 0.000 0.200 0.800
Er7 0.500 0.500 0.000


Record 16
Below is Dy3HoEr4 after structural relaxation, with properties calculated at the PBE-GGA level.

Calculated values
- calculated formation energy (eV/atom) = 0.002
- offset from the most stable computed form (eV/atom) = 0.000
- SG = Pmn2_1, No. 31
- density (g/cm3) = 8.806

Unit cell a=6.225 b=7.200 c=11.120 alpha=90.00 beta=90.00 gamma=90.00
Element x y z (fractional)
Dy1 0.648 0.626 0.000
Dy2 0.981 0.626 0.250
Dy3 0.481 0.374 0.250
Dy4 0.148 0.374 0.500
Dy5 0.481 0.374 0.750
Dy6 0.981 0.626 0.750
Ho1 0.148 0.374 0.000
Ho2 0.648 0.626 0.500
Er1 0.148 0.876 0.000
Er2 0.648 0.124 0.000
Er3 0.981 0.124 0.250
Er4 0.481 0.876 0.250
Er5 0.148 0.876 0.500
Er6 0.648 0.124 0.500
Er7 0.481 0.876 0.750
Er8 0.981 0.124 0.750


Record 17
Below is DyHoEr after structural relaxation, with properties calculated at the PBE-GGA level.

Calculated values
- calculated formation energy (eV/atom) = 1.627
- offset from the most stable computed form (eV/atom) = 1.606
- SG = P-6m2, No. 187
- density (g/cm3) = 6.195

Unit cell a=5.111 b=5.111 c=5.862 alpha=90.00 beta=90.00 gamma=120.00
Element x y z (fractional)
Ho1 0.333 0.667 0.500
Dy1 0.667 0.333 0.000
Er1 0.667 0.333 0.500


Record 18
Below is DyHoEr4 after structural relaxation, with properties calculated at the PBE-GGA level.

Calculated values
- calculated formation energy (eV/atom) = 0.154
- offset from the most stable computed form (eV/atom) = 0.077
- SG = C2/c, No. 15
- density (g/cm3) = 8.797

Unit cell a=6.370 b=8.780 c=8.460 alpha=112.18 beta=100.47 gamma=112.05
Element x y z (fractional)
Dy1 0.336 0.586 0.173
Dy2 0.664 0.414 0.827
Ho1 0.251 0.001 0.003
Ho2 0.749 0.999 0.997
Er1 0.048 0.169 0.744
Er2 0.748 0.711 0.607
Er3 0.196 0.575 0.744
Er4 0.360 0.897 0.607
Er5 0.640 0.103 0.393
Er6 0.804 0.425 0.256
Er7 0.252 0.289 0.393
Er8 0.952 0.831 0.256


Record 19
Below is Dy5HoEr6 after structural relaxation, with properties calculated at the PBE-GGA level.

Calculated values
- calculated formation energy (eV/atom) = 0.020
- SG = C2/m, No. 12
- density (g/cm3) = 8.949

Unit cell a=6.088 b=6.083 c=11.639 alpha=85.02 beta=80.00 gamma=59.97
Element x y z (fractional)
Er1 0.584 0.333 0.250
Er2 0.083 0.333 0.750
Er3 0.750 0.000 0.750
Er4 0.250 0.000 0.250
Er5 0.917 0.667 0.250
Er6 0.416 0.667 0.750
Ho1 0.000 0.000 0.000
Dy1 0.167 0.667 0.500
Dy2 0.333 0.333 0.000
Dy3 0.500 0.000 0.500
Dy4 0.667 0.667 0.000
Dy5 0.833 0.333 0.500


Record 20
Below is DyHo4Er3 after structural relaxation, with properties calculated at the PBE-GGA level.

Calculated values
- calculated formation energy (eV/atom) = 0.004
- offset from the most stable computed form (eV/atom) = 0.003
- SG = C2/m, No. 12
- density (g/cm3) = 8.979

Unit cell a=6.105 b=3.527 c=14.710 alpha=53.17 beta=78.00 gamma=89.96
Element x y z (fractional)
Er1 0.000 0.500 0.000
Er2 0.792 0.126 0.750
Er3 0.208 0.874 0.250
Ho1 0.709 0.374 0.250
Ho2 0.291 0.626 0.750
Ho3 0.250 0.750 0.500
Ho4 0.750 0.250 0.500
Dy1 0.500 0.000 0.000